BaTiB3, relaxed, DFT GGA-PBE; ΔE_f = 2.861 eV/atom; space-group type = Pm-3m; polymorph energy (0 for the lowest one) = 10.02 eV/f.u.
1.0
4.6156 0.0000 0.0000
0.0000 4.6156 0.0000
0.0000 0.0000 4.6156
B Ba Ti
3 1 1
direct
0.0000 0.5000 0.0000
0.0000 0.0000 0.5000
0.5000 0.0000 0.0000
0.0000 0.0000 0.0000
0.5000 0.5000 0.5000

---

CaY3Rh8, relaxed, DFT GGA-PBE; ΔE_f = -0.669 eV/atom; space-group type = R3m
1.0
-2.5870 2.5280 -3.9303
-4.2864 -2.2511 -2.2562
-7.4428 3.9903 3.8361
Ca Y Rh
1 3 8
direct
0.8744 0.8744 0.3767
0.3754 0.3754 0.8739
0.9984 0.9984 0.0049
0.5018 0.5018 0.4945
0.9393 0.4376 0.1855
0.4358 0.9374 0.6894
0.4376 0.4376 0.1855
0.9374 0.9374 0.6894
0.1875 0.1875 0.4375
0.6875 0.6875 0.9376
0.4376 0.9393 0.1855
0.9374 0.4358 0.6894

---

PmPrLuSn, relaxed, DFT GGA-PBE; ΔE_f = -0.258 eV/atom; space-group type = F-43m
1.0
5.5079 0.0000 0.0000
2.7540 4.7700 0.0000
2.7540 1.5900 4.4972
Pr Lu Sn Pm
1 1 1 1
direct
0.5000 0.5000 0.5000
0.2500 0.2500 0.2500
0.7500 0.7500 0.7500
0.0000 0.0000 0.0000

---

Zr2AlSi, relaxed, DFT GGA-PBE; space-group type = Immm; E_form (uncorrected) = -0.479 eV/atom; polymorph energy (0 for the lowest one) = 1.02 eV/f.u.
1.0
-2.8520 1.9781 -3.7074
-5.0446 0.1561 -0.5645
-1.7823 3.7499 0.9305
Si Al Zr
1 1 2
direct
0.7500 0.7500 0.7500
0.2500 0.2500 0.2500
0.0002 0.0002 0.9998
0.4998 0.4998 0.5002

---

LaYMg4, relaxed, DFT GGA-PBE; ΔE_f = -0.112 eV/atom; space-group type = F-43m
1.0
6.1253 0.0000 0.0000
3.0626 5.3046 0.0000
3.0626 1.7682 5.0013
La Mg Y
1 4 1
direct
0.0000 0.0000 0.0000
0.1260 0.6247 0.6247
0.6247 0.6247 0.6247
0.6247 0.1260 0.6247
0.6247 0.6247 0.1260
0.2500 0.2500 0.2500

---

Tb2Pr5Ho3, relaxed, DFT GGA-PBE; ΔE_f = 0.175 eV/atom; space-group type = C2/c; polymorph energy (0 for the lowest one) = 0.00 eV/f.u.
1.0
-8.8305 2.5751 -4.2086
0.1609 1.2166 -10.0376
2.6612 -9.1071 6.2223
Tb Pr Ho
4 10 6
direct
0.7827 0.0336 0.7577
0.2173 0.9664 0.2423
0.4750 0.7242 0.7577
0.5250 0.2758 0.2423
0.2714 0.5214 0.0428
0.7286 0.4786 0.9572
0.0215 0.7715 0.5430
0.5187 0.2687 0.5374
0.9785 0.2285 0.4570
0.4813 0.7313 0.4626
0.8811 0.6326 0.7594
0.1189 0.3674 0.2406
0.3783 0.1269 0.7594
0.6217 0.8731 0.2406
0.2281 0.9781 0.9562
0.7719 0.0219 0.0438
0.7208 0.4701 0.2488
0.2792 0.5299 0.7512
0.0280 0.7787 0.2488
0.9720 0.2213 0.7512

---

KTiVI6, relaxed, DFT GGA-PBE; space-group type = P-31c; E_form (uncorrected) = -0.790 eV/atom
1.0
7.3805 0.0000 0.0000
-3.6902 6.3917 0.0000
0.0000 0.0000 15.6390
K Ti V I
2 2 2 12
direct
0.0000 0.0000 0.0000
0.0000 0.0000 0.5000
0.6667 0.3333 0.2500
0.3333 0.6667 0.7500
0.3333 0.6667 0.2500
0.6667 0.3333 0.7500
0.6265 0.6273 0.1470
0.0008 0.3735 0.1470
0.3735 0.0008 0.6470
0.9992 0.6265 0.8530
0.3727 0.3735 0.3530
0.0008 0.6273 0.3530
0.6273 0.0008 0.8530
0.6265 0.9992 0.3530
0.9992 0.3727 0.6470
0.3727 0.9992 0.1470
0.6273 0.6265 0.6470
0.3735 0.3727 0.8530

---

CePmSbTe, relaxed, DFT GGA-PBE; space-group type = R3m; E_form (uncorrected) = -1.287 eV/atom; polymorph energy (0 for the lowest one) = 0.00 eV/f.u.
1.0
-2.7369 3.4599 0.8293
-4.3865 -0.7103 0.6352
-1.1968 0.1139 7.7234
Ce Pm Sb Te
1 1 1 1
direct
0.9464 0.9464 0.1607
0.4417 0.4417 0.6749
0.6946 0.6946 0.9161
0.1936 0.1936 0.4191

---

PrCdPd6, relaxed, DFT GGA-PBE; ΔE_f = -0.032 eV/atom; space-group type = R-3m; polymorph energy (0 for the lowest one) = 3.47 eV/f.u.
1.0
5.4684 0.5175 0.5853
-0.0829 5.4922 0.5853
-0.0829 -0.0925 5.5225
Pr Cd Pd
1 1 6
direct
0.0000 0.0000 0.0000
0.5000 0.5000 0.5000
0.1626 0.5280 0.1626
0.1626 0.1626 0.5280
0.8374 0.4720 0.8374
0.4720 0.8374 0.8374
0.8374 0.8374 0.4720
0.5280 0.1626 0.1626

---

ScCr2Rh, relaxed, DFT GGA-PBE; ΔE_f = -0.120 eV/atom; space-group type = P4mm; polymorph energy (0 for the lowest one) = 0.14 eV/f.u.
1.0
3.0124 0.5589 0.0000
-0.5580 3.0126 0.0000
0.0000 0.0000 6.2825
Cr Rh Sc
2 1 1
direct
0.0000 0.0000 0.0392
0.5000 0.5000 0.2225
0.0000 0.0000 0.4929
0.5000 0.5000 0.7455

---

Ac6TlTc2, relaxed, DFT GGA-PBE; ΔE_f = -0.017 eV/atom; space-group type = Immm
1.0
-3.2502 -5.6045 -6.6791
-1.6076 -3.3293 8.5391
-4.2950 8.2479 -0.3301
Ac Tl Tc
12 2 4
direct
0.4682 0.2830 0.1853
0.5318 0.7170 0.8147
0.9023 0.7170 0.1853
0.0977 0.2830 0.8147
0.2037 0.7643 0.9680
0.7963 0.2357 0.0320
0.7963 0.7643 0.5606
0.2037 0.2357 0.4394
0.3158 0.9849 0.6691
0.6842 0.0151 0.3309
0.6842 0.3533 0.6691
0.3158 0.6467 0.3309
0.0000 0.5000 0.5000
0.0000 0.0000 0.0000
0.5000 0.3936 0.8936
0.5000 0.6064 0.1064
0.3305 0.0000 0.3305
0.6695 0.0000 0.6695

---

LiSm2TlO, relaxed, DFT GGA-PBE; space-group type = P4/mmm; E_form (uncorrected) = -1.349 eV/atom
1.0
-1.9661 -2.6822 2.8249
3.6199 -3.2755 -0.5907
2.4836 2.0774 3.7010
Li Sm Tl O
1 2 1 1
direct
0.5000 0.0000 0.0000
0.0000 0.0000 0.5000
0.0000 0.5000 0.0000
0.5000 0.5000 0.5000
0.0000 0.0000 0.0000

---

Sc2GeH3, relaxed, DFT GGA-PBE; space-group type = C2/m
1.0
3.3191 0.0000 0.0000
-1.6595 6.5881 0.1269
0.0000 -2.8366 6.2648
Sc Ge H
4 2 6
direct
0.4711 0.9421 0.7318
0.5289 0.0579 0.2682
0.8016 0.6032 0.3252
0.1984 0.3968 0.6748
0.8648 0.7295 0.9676
0.1352 0.2705 0.0324
0.3081 0.6163 0.5295
0.9336 0.8671 0.5854
0.5931 0.1861 0.6212
0.4069 0.8139 0.3788
0.0664 0.1329 0.4146
0.6919 0.3837 0.4705

---

Computed values of electronic total energy (unit: eV per atom) for the preceding records, in sequence: -3.109, -7.353, -4.771, -7.044, -3.074, -4.514, -3.836, -5.774, -4.638, -8.352, -5.323, -5.084, -5.170.